Record 1
# Li2Ca3Au PBE-GGA optimized geometry
data_Li2Ca3Au
_chemical_formula_sum 'Li8 Ca12 Au4'
_symmetry_space_group_name_H-M 'C m m m'
_symmetry_Int_Tables_number 65
_symmetry_space_group_name_Hall '-C 2 2'
_cell_length_a 5.2951
_cell_length_b 15.9940
_cell_length_c 7.8939
_cell_angle_alpha 90.00
_cell_angle_beta 90.00
_cell_angle_gamma 90.00
loop_
_atom_site_label
_atom_site_fract_x
_atom_site_fract_y
_atom_site_fract_z
Li1 0.0000 0.0000 0.0000
Li2 0.0000 0.0000 0.5000
Li3 0.0000 0.3337 0.0000
Ca1 0.0000 0.1733 0.2768
Ca2 0.0000 0.5000 0.2648
Au1 0.0000 0.3463 0.5000
# ΔH_f (0 K) (eV/f.u.): -1.7

Record 2
# TbZrAu2 PBE-GGA optimized geometry
data_TbZrAu2
_chemical_formula_sum 'Tb4 Zr4 Au8'
_symmetry_space_group_name_H-M 'F m -3 m'
_symmetry_Int_Tables_number 225
_symmetry_space_group_name_Hall '-F 4 2 3'
_cell_length_a 7.0505
_cell_length_b 7.0505
_cell_length_c 7.0505
_cell_angle_alpha 90.00
_cell_angle_beta 90.00
_cell_angle_gamma 90.00
loop_
_atom_site_label
_atom_site_fract_x
_atom_site_fract_y
_atom_site_fract_z
Tb1 0.0000 0.0000 0.0000
Zr1 0.0000 0.0000 0.5000
Au1 0.2500 0.2500 0.2500
# ΔH_f (0 K) (eV/f.u.): -2.3
# E above lowest polymorph (eV/atom): 0.037

Record 3
# KAlHg2 PBE-GGA optimized geometry
data_KAlHg2
_chemical_formula_sum 'K4 Al4 Hg8'
_symmetry_space_group_name_H-M 'I -4 2 d'
_symmetry_Int_Tables_number 122
_symmetry_space_group_name_Hall 'I -4 2bw'
_cell_length_a 5.9909
_cell_length_b 5.9909
_cell_length_c 16.8138
_cell_angle_alpha 90.00
_cell_angle_beta 90.00
_cell_angle_gamma 90.00
loop_
_atom_site_label
_atom_site_fract_x
_atom_site_fract_y
_atom_site_fract_z
K1 0.0000 0.0000 0.0000
Al1 0.0000 0.0000 0.5000
Hg1 0.0833 0.2500 0.6250
# ΔH_f (0 K) (eV/f.u.): 0.1
# E above lowest polymorph (eV/atom): 0.077

Record 4
# CrIn2Te PBE-GGA optimized geometry
data_CrIn2Te
_chemical_formula_sum 'Cr3 In6 Te3'
_symmetry_space_group_name_H-M 'R 3 m'
_symmetry_Int_Tables_number 160
_symmetry_space_group_name_Hall 'R 3 -2"'
_cell_length_a 3.6335
_cell_length_b 3.6335
_cell_length_c 26.9374
_cell_angle_alpha 90.00
_cell_angle_beta 90.00
_cell_angle_gamma 120.00
loop_
_atom_site_label
_atom_site_fract_x
_atom_site_fract_y
_atom_site_fract_z
Cr1 0.0000 0.0000 0.0000
In1 0.0000 0.0000 0.5005
In2 0.0000 0.0000 0.7415
Te1 0.0000 0.0000 0.2741
# Uncorrected formation energy (eV/atom): 0.1422

Volume / Å³/atom: 27.856, 21.905, 37.716, 25.665